# MgGa2Sn (PBE, optimized geometry)
# Energy   -2.936 eV/atom
# Formation energy from the elements   -0.55 kcal/mol of atoms
data_MgGa2Sn
_cell_length_a 3.642
_cell_length_b 3.642
_cell_length_c 6.479
_cell_angle_alpha 90.00
_cell_angle_beta 90.00
_cell_angle_gamma 90.00
_space_group_name_H-M_alt 'P 1'
_space_group_IT_number 1
loop_
_space_group_symop_operation_xyz
'x,y,z'
loop_
_atom_site_label
_atom_site_fract_x
_atom_site_fract_y
_atom_site_fract_z
Mg1 0.500 0.500 0.500
Sn1 0.500 0.500 0.000
Ga1 0.000 0.000 0.743
Ga2 0.000 0.000 0.257